The following is a PBE calculation of a geometry-optimized CsRb2ZnF structure, from Alexandria.

Unit cell a=5.780 b=5.780 c=6.145 alpha=90.00 beta=90.00 gamma=90.00
Element x y z (fractional)
Cs1 0.000 0.000 0.000
Rb1 0.000 0.500 0.500
Rb2 0.500 0.000 0.500
Zn1 0.500 0.500 0.000
F1 0.000 0.000 0.500

Calculated values
As for the mass density: 3.14 Mg/m³. The value obtained for the volume is 41.1 Å³/atom. The symmetry is P4/mmm.

The following is a PBE calculation of a geometry-optimized CsRbZrF6 structure, from Alexandria.

Unit cell a=6.913 b=6.913 c=10.077 alpha=90.00 beta=90.00 gamma=120.00
Element x y z (fractional)
Cs1 0.000 0.000 0.000
Cs2 0.000 0.000 0.500
Rb1 0.333 0.667 0.250
Rb2 0.667 0.333 0.750
Zr1 0.333 0.667 0.750
Zr2 0.667 0.333 0.250
F1 0.085 0.422 0.638
F2 0.085 0.663 0.862
F3 0.337 0.422 0.862
F4 0.337 0.915 0.638
F5 0.422 0.085 0.138
F6 0.422 0.337 0.362
F7 0.578 0.663 0.638
F8 0.578 0.915 0.862
F9 0.663 0.085 0.362
F10 0.663 0.578 0.138
F11 0.915 0.337 0.138
F12 0.915 0.578 0.362

Calculated values
As for the mass density: 3.37 Mg/m³. The value obtained for the volume is 23.2 Å³/atom. The symmetry is P-31c.

The following is a PBE calculation of a geometry-optimized CsReF4 structure, from Alexandria.

Unit cell a=8.551 b=8.551 c=3.995 alpha=103.07 beta=103.07 gamma=49.82
Element x y z (fractional)
Cs1 0.180 0.180 0.218
Cs2 0.820 0.820 0.782
Re1 0.448 0.448 0.227
Re2 0.552 0.552 0.773
F1 0.173 0.595 0.354
F2 0.276 0.724 0.000
F3 0.325 0.325 0.848
F4 0.405 0.827 0.646
F5 0.595 0.173 0.354
F6 0.675 0.675 0.152
F7 0.724 0.276 0.000
F8 0.827 0.405 0.646

Calculated values
As for the mass density: 6.07 Mg/m³. The value obtained for the volume is 18.0 Å³/atom. The symmetry is C2/m.

The following is a PBE calculation of a geometry-optimized Cs3ReF structure, from Alexandria.

Unit cell a=5.917 b=5.917 c=5.917 alpha=90.00 beta=90.00 gamma=90.00
Element x y z (fractional)
Cs1 0.000 0.000 0.500
Cs2 0.000 0.500 0.000
Cs3 0.500 0.000 0.000
Re1 0.000 0.000 0.000
F1 0.500 0.500 0.500

Calculated values
As for the mass density: 4.84 Mg/m³. The value obtained for the volume is 41.4 Å³/atom. The symmetry is Pm-3m.

The following is a PBE calculation of a geometry-optimized Cs3ReF7 structure, from Alexandria.

Unit cell a=6.471 b=6.471 c=7.284 alpha=113.41 beta=113.41 gamma=89.51
Element x y z (fractional)
Cs1 0.000 0.000 0.000
Cs2 0.257 0.732 0.496
Cs3 0.732 0.257 0.496
Re1 0.535 0.535 0.025
F1 0.220 0.508 0.794
F2 0.383 0.383 0.151
F3 0.410 0.809 0.192
F4 0.508 0.220 0.794
F5 0.630 0.630 0.824
F6 0.803 0.803 0.239
F7 0.809 0.410 0.192

Calculated values
As for the mass density: 4.72 Mg/m³. The value obtained for the volume is 23.0 Å³/atom. The symmetry is Cm.

The following is a PBE calculation of a geometry-optimized CsRe3F structure, from Alexandria.

Unit cell a=4.972 b=4.972 c=4.972 alpha=90.00 beta=90.00 gamma=90.00
Element x y z (fractional)
Cs1 0.000 0.000 0.000
Re1 0.000 0.000 0.500
Re2 0.000 0.500 0.000
Re3 0.500 0.000 0.000
F1 0.500 0.500 0.500

Calculated values
As for the mass density: 9.60 Mg/m³. The value obtained for the volume is 24.6 Å³/atom. The calculation puts the energy above the most stable polymorph in this dataset at 1660 meV/atom. The symmetry is Pm-3m.

The following is a PBE calculation of a geometry-optimized CsRe3F structure, from Alexandria.

Unit cell a=4.575 b=4.575 c=4.575 alpha=90.00 beta=90.00 gamma=90.00
Element x y z (fractional)
Cs1 0.000 0.000 0.000
Re1 0.000 0.500 0.500
Re2 0.500 0.000 0.500
Re3 0.500 0.500 0.000
F1 0.500 0.500 0.500

Calculated values
As for the mass density: 12.32 Mg/m³. The value obtained for the volume is 19.2 Å³/atom. The calculation puts the energy above the most stable polymorph in this dataset at 0 meV/atom. The symmetry is Pm-3m.

The following is a PBE calculation of a geometry-optimized Cs3Re2F8 structure, from Alexandria.

Unit cell a=8.460 b=8.460 c=8.460 alpha=47.70 beta=47.70 gamma=47.70
Element x y z (fractional)
Cs1 0.000 0.000 0.000
Cs2 0.227 0.227 0.227
Cs3 0.773 0.773 0.773
Re1 0.451 0.451 0.451
Re2 0.549 0.549 0.549
F1 0.229 0.732 0.732
F2 0.268 0.268 0.771
F3 0.268 0.771 0.268
F4 0.351 0.351 0.351
F5 0.649 0.649 0.649
F6 0.732 0.229 0.732
F7 0.732 0.732 0.229
F8 0.771 0.268 0.268

Calculated values
As for the mass density: 5.06 Mg/m³. The value obtained for the volume is 23.3 Å³/atom. The symmetry is R-3m.

The following is a PBE calculation of a geometry-optimized Cs2ReRhF6 structure, from Alexandria.

Unit cell a=6.980 b=6.980 c=6.980 alpha=128.09 beta=128.09 gamma=76.48
Element x y z (fractional)
Cs1 0.250 0.750 0.500
Cs2 0.750 0.250 0.500
Re1 0.000 0.000 0.000
Rh1 0.500 0.500 0.000
F1 0.184 0.184 0.000
F2 0.233 0.233 0.466
F3 0.233 0.767 0.000
F4 0.767 0.233 0.000
F5 0.767 0.767 0.534
F6 0.816 0.816 0.000

Calculated values
As for the mass density: 5.43 Mg/m³. The value obtained for the volume is 20.5 Å³/atom. The symmetry is I4/mmm.

The following is a PBE calculation of a geometry-optimized Cs2ReRuF6 structure, from Alexandria.

Unit cell a=6.477 b=6.477 c=6.477 alpha=121.57 beta=121.57 gamma=87.31
Element x y z (fractional)
Cs1 0.250 0.750 0.500
Cs2 0.750 0.250 0.500
Re1 0.000 0.000 0.000
Ru1 0.500 0.500 0.000
F1 0.217 0.217 0.000
F2 0.230 0.230 0.461
F3 0.230 0.770 0.000
F4 0.770 0.230 0.000
F5 0.770 0.770 0.539
F6 0.783 0.783 0.000

Calculated values
As for the mass density: 5.91 Mg/m³. The value obtained for the volume is 18.7 Å³/atom. The symmetry is I4/mmm.

The following is a PBE calculation of a geometry-optimized Cs2TaReF6 structure, from Alexandria.

Unit cell a=6.236 b=6.236 c=6.236 alpha=120.06 beta=120.06 gamma=89.90
Element x y z (fractional)
Cs1 0.250 0.750 0.500
Cs2 0.750 0.250 0.500
Ta1 0.000 0.000 0.000
Re1 0.500 0.500 0.000
F1 0.245 0.245 0.000
F2 0.245 0.245 0.491
F3 0.245 0.755 0.000
F4 0.755 0.245 0.000
F5 0.755 0.755 0.000
F6 0.755 0.755 0.509

Calculated values
As for the mass density: 7.24 Mg/m³. The value obtained for the volume is 17.1 Å³/atom. The symmetry is I4/mmm.

The following is a PBE calculation of a geometry-optimized CsTl2ReF8 structure, from Alexandria.

Unit cell a=4.968 b=6.590 c=8.583 alpha=90.04 beta=90.07 gamma=96.78
Element x y z (fractional)
Cs1 0.000 0.000 0.000
Tl1 0.500 0.500 0.230
Tl2 0.500 0.500 0.770
Re1 0.000 0.000 0.500
F1 0.105 0.822 0.337
F2 0.106 0.822 0.663
F3 0.343 0.161 0.500
F4 0.470 0.722 0.000
F5 0.530 0.278 0.000
F6 0.657 0.839 0.500
F7 0.894 0.178 0.337
F8 0.895 0.178 0.663

Calculated values
As for the mass density: 5.24 Mg/m³. The value obtained for the volume is 23.3 Å³/atom. The symmetry is P-1.

Calculated raw formation energy in order - -0.92, -3.38, -2.22, 0.55, -2.39, 4.15, 2.49, -1.96, -1.78, -1.64, -1.65, -2.16 eV per atom
Calculated total magnetization in order - 0.000, 0.006, 0.000, 0.000, 1.000, 4.356, 4.737, 0.989, 4.000, 5.000, 2.000, 2.000 μB/f.u.